The following is a DFT calculation (PBE) of Te3P after structural relaxation.

abc: 7.354 7.354 7.354
angles: 90.00 90.00 90.00
Space group Fm-3m (No. 225)
Inequivalent atoms, fractional coordinates:
Te (0.000, 0.000, 0.000) (multiplicity 4)
Te (0.250, 0.250, 0.250) (multiplicity 8)
P (0.000, 0.000, 0.500) (multiplicity 4)

Total moment: 0.000 μB/f.u.
Formation energy from raw total energies: 0.598 eV per atom
ρ: 6.910 Mg/m³
Crystal system: cubic
V: 397.7 Å³/cell
Energy: -3.11 eV/atom